# Tm8AsSe6

A geometry-optimized Tm8AsSe6 structure (GGA-PBE, the Alexandria database).

a b c (Å): 10.2546 10.2546 4.0002
angles (deg): 90.00 90.00 120.00
Space group P-3 (No. 147)
Inequivalent atoms, fractional coordinates:
Tm: 0.0305 0.3033 0.2582 x6
Tm: 0.3333 0.6667 0.7474 x2
As: 0.0000 0.0000 0.5000 x1
Se: 0.1290 0.6501 0.2480 x6

Summary:
E_form (uncorrected): -1.2420 eV/atom
Magnetic moment: 0.0 μB/f.u.

# Tm8As4Se3

A geometry-optimized Tm8As4Se3 structure (GGA-PBE, the Alexandria database).

a b c (Å): 11.336 11.362 8.013
angles (deg): 90.00 134.78 90.00
Space group C2/m (No. 12)
Inequivalent atoms, fractional coordinates:
Tm: 0.000 0.246 0.000 x4
Tm: 0.000 0.251 0.500 x4
Tm: 0.246 0.000 0.495 x4
Tm: 0.250 0.000 0.007 x4
As: 0.000 0.000 0.000 x2
As: 0.000 0.500 0.500 x2
As: 0.250 0.250 0.500 x4
Se: 0.000 0.500 0.000 x2
Se: 0.250 0.250 0.000 x4

Summary:
E_form (uncorrected): -1.4874 eV/atom
Magnetic moment: 0.0 μB/f.u.

# Tm3As2Se

A geometry-optimized Tm3As2Se structure (GGA-PBE, the Alexandria database).

a b c (Å): 4.052 5.730 12.132
angles (deg): 90.00 90.00 90.00
Space group Immm (No. 71)
Inequivalent atoms, fractional coordinates:
Tm: 0.000 0.000 0.000 x2
Tm: 0.000 0.000 0.327 x4
As: 0.000 0.500 0.335 x4
Se: 0.000 0.500 0.000 x2

Summary:
E_form (uncorrected): -1.6271 eV/atom
Magnetic moment: 0.0 μB/f.u.

# Tm4AsSe3

A geometry-optimized Tm4AsSe3 structure (GGA-PBE, the Alexandria database).

a b c (Å): 5.690 5.690 5.690
angles (deg): 90.00 90.00 90.00
Space group Pm-3m (No. 221)
Inequivalent atoms, fractional coordinates:
Tm: 0.000 0.000 0.000 x1
Tm: 0.000 0.500 0.500 x3
As: 0.500 0.500 0.500 x1
Se: 0.000 0.000 0.500 x3

Summary:
E_form (uncorrected): -1.6679 eV/atom
Magnetic moment: 0.0 μB/f.u.

# Tm2AsSe

A geometry-optimized Tm2AsSe structure (GGA-PBE, the Alexandria database).

a b c (Å): 4.0407 4.0407 19.8710
angles (deg): 90.00 90.00 120.00
Space group R-3m (No. 166, hexagonal axes)
Inequivalent atoms, fractional coordinates:
Tm: 0.0000 0.0000 0.2456 x6
As: 0.0000 0.0000 0.5000 x3
Se: 0.0000 0.0000 0.0000 x3

Summary:
E_form (uncorrected): -1.6497 eV/atom
Excess energy over the best structure of this formula in the dataset: 3 meV per atom
Magnetic moment: 0.0 μB/f.u.

# Tm5As4Se

A geometry-optimized Tm5As4Se structure (GGA-PBE, the Alexandria database).

a b c (Å): 13.451 4.056 9.932
angles (deg): 90.00 119.53 90.00
Space group C2/m (No. 12)
Inequivalent atoms, fractional coordinates:
Tm: 0.000 0.000 0.000 x2
Tm: 0.104 0.500 0.396 x4
Tm: 0.203 0.000 0.806 x4
As: 0.099 0.500 0.897 x4
As: 0.202 0.000 0.300 x4
Se: 0.000 0.000 0.500 x2

Summary:
E_form (uncorrected): -1.5933 eV/atom
Magnetic moment: 0.0 μB/f.u.

# Tm5AsSe4

A geometry-optimized Tm5AsSe4 structure (GGA-PBE, the Alexandria database).

a b c (Å): 4.0391 4.0391 49.0409
angles (deg): 90.00 90.00 120.00
Space group R-3m (No. 166, hexagonal axes)
Inequivalent atoms, fractional coordinates:
Tm: 0.0000 0.0000 0.0000 x3
Tm: 0.0000 0.0000 0.1986 x6
Tm: 0.0000 0.0000 0.3990 x6
As: 0.0000 0.0000 0.5000 x3
Se: 0.0000 0.0000 0.0994 x6
Se: 0.0000 0.0000 0.3003 x6

Summary:
E_form (uncorrected): -1.6537 eV/atom
Excess energy over the best structure of this formula in the dataset: 6 meV per atom
Magnetic moment: 0.0 μB/f.u.

# Tm6As5Se

A geometry-optimized Tm6As5Se structure (GGA-PBE, the Alexandria database).

a b c (Å): 7.027 12.165 7.029
angles (deg): 90.00 109.46 90.00
Space group C2/m (No. 12)
Inequivalent atoms, fractional coordinates:
Tm: 0.245 0.000 0.253 x4
Tm: 0.246 0.170 0.746 x8
As: 0.000 0.000 0.500 x2
As: 0.000 0.167 0.000 x4
As: 0.000 0.335 0.500 x4
Se: 0.000 0.500 0.000 x2

Summary:
E_form (uncorrected): -1.5837 eV/atom
Magnetic moment: 0.0 μB/f.u.